## PmNiI2O8 (GGA+U)

Data for PmNiI2O8 after structural relaxation.

Geometry as CIF:
```
data_PmNiI2O8
_chemical_formula_sum 'Pm1 Ni1 I2 O8'
_symmetry_space_group_name_H-M 'P -3 m 1'
_symmetry_Int_Tables_number 164
_symmetry_space_group_name_Hall '-P 3 2"'
_cell_length_a 6.1974
_cell_length_b 6.1974
_cell_length_c 6.0720
_cell_angle_alpha 90.00
_cell_angle_beta 90.00
_cell_angle_gamma 120.00
loop_
_atom_site_label
_atom_site_type_symbol
_atom_site_fract_x
_atom_site_fract_y
_atom_site_fract_z
_atom_site_occupancy
Pm1 Pm 0.0000 0.0000 0.0000 1
Ni1 Ni 0.0000 0.0000 0.5000 1
I1 I 0.3333 0.6667 0.6851 1
O1 O 0.1505 0.3010 0.7193 1
O2 O 0.3333 0.6667 0.3926 1
```

Output
For the energy, the calculation gives -5.087 eV per atom. The value obtained for the magnetic moment is 1.00 Bohr magnetons per cell.